Entry from the Alexandria database: Y3PS6 after structural relaxation (GGA-PBE).

Calculated values
total moment	0.00	μB/f.u.
ΔE_f (raw)	-148.0	kJ per mole of atoms
density of states at the Fermi level	0.0	states/eV/cell

Structure (CIF):
```
data_Y3PS6
_cell_length_a 10.524
_cell_length_b 13.014
_cell_length_c 7.027
_cell_angle_alpha 90.00
_cell_angle_beta 90.00
_cell_angle_gamma 90.00
_symmetry_space_group_name_H-M 'C m c 21'
_symmetry_Int_Tables_number 36
loop_
_symmetry_equiv_pos_as_xyz
'x,y,z'
'-x,-y,z+1/2'
'-x,y,z'
'x,-y,z+1/2'
'x+1/2,y+1/2,z'
'-x+1/2,-y+1/2,z+1/2'
'-x+1/2,y+1/2,z'
'x+1/2,-y+1/2,z+1/2'
loop_
_atom_site_label
_atom_site_fract_x
_atom_site_fract_y
_atom_site_fract_z
_atom_site_occupancy
Y1 0.000 0.101 0.000 1
Y2 0.187 0.398 0.065 1
P1 0.000 0.316 0.653 1
S1 0.000 0.281 0.202 1
S2 0.000 0.467 0.796 1
S3 0.160 0.241 0.783 1
S4 0.163 0.022 0.282 1
```